Entry 1:
PRuPb3 | GGA-PBE | optimized geometry

The magnetic moment comes out at 0.386 μB per atom. Its energy above the most stable polymorph in this dataset is 0.664 eV per atom. The value obtained for the calculated density is 8.23 Mg/m³. As for the total DFT energy (no corrections): -4.01 eV/atom. The formation energy is 1.151 eV/atom. The crystal system is cubic.

The structure belongs to space group Pm-3m (No. 221); the cell edges are 5.3383, 5.3383 and 5.3383 Å and the angles 90.00°, 90.00° and 90.00°. Symmetry generates all atoms from P at (0.0000, 0.0000, 0.0000), Ru at (0.5000, 0.5000, 0.5000) and Pb at (0.0000, 0.0000, 0.5000).

=====

Entry 2:
P2RuPb | GGA-PBE | optimized geometry

The magnetic moment comes out at 0.000 μB per atom. The value obtained for the calculated density is 8.34 Mg/m³. As for the total DFT energy (no corrections): -5.81 eV/atom. The formation energy is 0.144 eV/atom. The crystal system is tetragonal.

The structure belongs to space group P4mm (No. 99); the cell edges are 3.0917, 3.0917 and 7.7097 Å and the angles 90.00°, 90.00° and 90.00°. Symmetry generates all atoms from P at (0.0000, 0.0000, 0.0000), P at (0.5000, 0.5000, 0.1654), Ru at (0.5000, 0.5000, 0.8503) and Pb at (0.0000, 0.0000, 0.5547).

=====

Entry 3:
PRu2Pb | GGA-PBE | optimized geometry

The magnetic moment comes out at 0.044 μB per atom. Its energy above the most stable polymorph in this dataset is 0.229 eV per atom. The value obtained for the calculated density is 10.57 Mg/m³. As for the total DFT energy (no corrections): -6.77 eV/atom. The formation energy is 0.149 eV/atom. The crystal system is tetragonal.

The structure belongs to space group P4mm (No. 99); the cell edges are 3.2920, 3.2920 and 6.3855 Å and the angles 90.00°, 90.00° and 90.00°. Symmetry generates all atoms from P at (0.0000, 0.0000, 0.0000), Ru at (0.0000, 0.0000, 0.6381), Ru at (0.5000, 0.5000, 0.9234) and Pb at (0.5000, 0.5000, 0.3799).

=====

Entry 4:
PRu2Pb | GGA-PBE | optimized geometry

The magnetic moment comes out at 0.000 μB per atom. Its energy above the most stable polymorph in this dataset is 0.456 eV per atom. The value obtained for the calculated density is 8.34 Mg/m³. As for the total DFT energy (no corrections): -6.54 eV/atom. The formation energy is 0.375 eV/atom. The crystal system is tetragonal.

The structure belongs to space group I-42d (No. 122); the cell edges are 5.8719, 5.8719 and 10.1706 Å and the angles 90.00°, 90.00° and 90.00°. Symmetry generates all atoms from P at (0.0000, 0.0000, 0.0000), Ru at (0.1808, 0.2500, 0.1250) and Pb at (0.0000, 0.0000, 0.5000).

=====

Entry 5:
P2RuPb | GGA-PBE | optimized geometry

The magnetic moment comes out at 0.000 μB per atom. The value obtained for the calculated density is 8.77 Mg/m³. As for the total DFT energy (no corrections): -5.25 eV/atom. The formation energy is 0.698 eV/atom. The crystal system is monoclinic.

The structure belongs to space group P2/m (No. 10); the cell edges are 4.5167, 3.2655 and 4.9145 Å and the angles 90.00°, 104.76° and 90.00°. Symmetry generates all atoms from P at (0.0000, 0.0000, 0.0000), P at (0.5000, 0.5000, 0.0000), Ru at (0.0000, 0.5000, 0.5000) and Pb at (0.5000, 0.0000, 0.5000).

=====

Entry 6:
P2RuPb | GGA-PBE | optimized geometry

The magnetic moment comes out at 0.000 μB per atom. The value obtained for the calculated density is 7.52 Mg/m³. As for the total DFT energy (no corrections): -6.03 eV/atom. The formation energy is -0.078 eV/atom. The crystal system is monoclinic.

The structure belongs to space group Cm (No. 8); the cell edges are 7.8885, 3.4264 and 6.1896 Å and the angles 90.00°, 102.36° and 90.00°. Symmetry generates all atoms from P at (0.0000, 0.0000, 0.0000), P at (0.1439, 0.0000, 0.7250), Ru at (0.2037, 0.5000, 0.9985) and Pb at (0.3618, 0.0000, 0.3933).

=====

Entry 7:
PRu2Pb | GGA-PBE | optimized geometry

The magnetic moment comes out at 0.000 μB per atom. Its energy above the most stable polymorph in this dataset is 0.273 eV per atom. The value obtained for the calculated density is 10.24 Mg/m³. As for the total DFT energy (no corrections): -6.73 eV/atom. The formation energy is 0.192 eV/atom. The crystal system is tetragonal.

The structure belongs to space group P4mm (No. 99); the cell edges are 2.9778, 2.9778 and 8.0506 Å and the angles 90.00°, 90.00° and 90.00°. Symmetry generates all atoms from P at (0.0000, 0.0000, 0.0000), Ru at (0.0000, 0.0000, 0.6255), Ru at (0.5000, 0.5000, 0.8468) and Pb at (0.5000, 0.5000, 0.3662).

=====

Entry 8:
PRu2Pb | GGA-PBE | optimized geometry

The magnetic moment comes out at 0.000 μB per atom. Its energy above the most stable polymorph in this dataset is 0.064 eV per atom. The value obtained for the calculated density is 10.05 Mg/m³. As for the total DFT energy (no corrections): -6.93 eV/atom. The formation energy is -0.017 eV/atom. The crystal system is monoclinic.

The structure belongs to space group Cm (No. 8); the cell edges are 8.1065, 3.0335 and 6.0028 Å and the angles 90.00°, 99.67° and 90.00°. Symmetry generates all atoms from P at (0.0000, 0.0000, 0.0000), Ru at (0.2104, 0.5000, 0.9652), Ru at (0.4441, 0.0000, 0.2665) and Pb at (0.2102, 0.0000, 0.5484).

=====

Entry 9:
P2RuPb | GGA-PBE | optimized geometry

The magnetic moment comes out at 0.000 μB per atom. The value obtained for the calculated density is 6.43 Mg/m³. As for the total DFT energy (no corrections): -5.96 eV/atom. The formation energy is -0.008 eV/atom. The crystal system is tetragonal.

The structure belongs to space group I-42d (No. 122); the cell edges are 5.9337, 5.9337 and 10.8564 Å and the angles 90.00°, 90.00° and 90.00°. Symmetry generates all atoms from P at (0.1693, 0.2500, 0.1250), Ru at (0.0000, 0.0000, 0.0000) and Pb at (0.0000, 0.0000, 0.5000).

=====

Entry 10:
P2RuPb | GGA-PBE | optimized geometry

The magnetic moment comes out at 0.000 μB per atom. The value obtained for the calculated density is 7.62 Mg/m³. As for the total DFT energy (no corrections): -5.67 eV/atom. The formation energy is 0.282 eV/atom. The crystal system is orthorhombic.

The structure belongs to space group Immm (No. 71); the cell edges are 2.9771, 5.7135 and 9.4873 Å and the angles 90.00°, 90.00° and 90.00°. Symmetry generates all atoms from P at (0.0000, 0.0000, 0.1915), Ru at (0.0000, 0.5000, 0.5000) and Pb at (0.0000, 0.5000, 0.0000).

=====

Entry 11:
PRu2Pb | GGA-PBE | optimized geometry

The magnetic moment comes out at 0.021 μB per atom. Its energy above the most stable polymorph in this dataset is 0.686 eV per atom. The value obtained for the calculated density is 11.00 Mg/m³. As for the total DFT energy (no corrections): -6.31 eV/atom. The formation energy is 0.605 eV/atom. The crystal system is tetragonal.

The structure belongs to space group I-4m2 (No. 119); the cell edges are 3.7534, 3.7534 and 9.4361 Å and the angles 90.00°, 90.00° and 90.00°. Symmetry generates all atoms from P at (0.0000, 0.0000, 0.0000), Ru at (0.0000, 0.0000, 0.5000), Ru at (0.0000, 0.5000, 0.2500) and Pb at (0.0000, 0.5000, 0.7500).

=====

Entry 12:
PRu2Pb | GGA-PBE | optimized geometry

The magnetic moment comes out at 0.000 μB per atom. Its energy above the most stable polymorph in this dataset is 0.000 eV per atom. The value obtained for the calculated density is 10.23 Mg/m³. As for the total DFT energy (no corrections): -7.00 eV/atom. The formation energy is -0.081 eV/atom. The crystal system is trigonal.

The structure belongs to space group R-3m (No. 166, hexagonal axes); the cell edges are 3.5934, 3.5934 and 19.1798 Å and the angles 90.00°, 90.00° and 120.00°. Symmetry generates all atoms from P at (0.0000, 0.0000, 0.0000), Ru at (0.0000, 0.0000, 0.2809) and Pb at (0.0000, 0.0000, 0.5000).